# 1
The following is a DFT calculation (PBE-GGA) of crystalline YMg2Cu at its relaxed geometry.

The total energy is -3.5904 eV per atom.

The space group is I4/mmm (No. 139) and the conventional cell measures 4.6793, 4.6793 and 16.1305 Å, with angles of 90.00, 90.00 and 90.00 degrees. The inequivalent atoms are Y at (0.0000, 0.0000, 0.1480), Mg at (0.0000, 0.0000, 0.3519), Mg at (0.0000, 0.5000, 0.0000) and Cu at (0.0000, 0.5000, 0.2500).


# 2
The following is a DFT calculation (PBE-GGA) of crystalline MgIn3 at its relaxed geometry.

The total energy is -2.4896 eV per atom.

The space group is Cmmm (No. 65) and the conventional cell measures 6.5116, 9.0410 and 3.4290 Å, with angles of 90.00, 90.00 and 90.00 degrees. The inequivalent atoms are Mg at (0.0000, 0.0000, 0.0000), In at (0.0000, 0.5000, 0.0000) and In at (0.2500, 0.2500, 0.5000).


# 3
The following is a DFT calculation (PBE-GGA) of crystalline CdSi2TeI at its relaxed geometry.

For the formation energy without anion corrections, the calculation gives 1.002 eV per atom. The total energy is -2.2887 eV per atom.

The space group is P4/mmm (No. 123) and the conventional cell measures 5.1876, 5.1876 and 5.6671 Å, with angles of 90.00, 90.00 and 90.00 degrees. The inequivalent atoms are Cd at (0.0000, 0.0000, 0.0000), Si at (0.0000, 0.5000, 0.0000), Te at (0.5000, 0.5000, 0.5000) and I at (0.0000, 0.0000, 0.5000).


# 4
The following is a DFT calculation (PBE-GGA) of crystalline AlSiAs2 at its relaxed geometry.

For the formation energy without anion corrections, the calculation gives -0.021 eV per atom. As for the polymorph energy (0 for the lowest one): 0.64 kcal/mol of atoms. The total energy is -4.6367 eV per atom.

The space group is C2/m (No. 12) and the conventional cell measures 6.4182, 3.6990 and 6.5472 Å, with angles of 90.00, 109.43 and 90.00 degrees. The inequivalent atoms are Al at (0.0000, 0.0000, 0.0000), Si at (0.0000, 0.5000, 0.5000) and As at (0.2480, 0.0000, 0.7403).


# 5
The following is a DFT calculation (PBE-GGA) of crystalline DyTlCu2 at its relaxed geometry.

The total energy is -3.9668 eV per atom.

The space group is Fm-3m (No. 225) and the conventional cell measures 6.6913, 6.6913 and 6.6913 Å, with angles of 90.00, 90.00 and 90.00 degrees. The inequivalent atoms are Dy at (0.0000, 0.0000, 0.0000), Tl at (0.0000, 0.0000, 0.5000) and Cu at (0.2500, 0.2500, 0.2500).


# 6
The following is a DFT calculation (PBE-GGA) of crystalline K2ZnCu2Br6 at its relaxed geometry.

For the formation energy without anion corrections, the calculation gives -0.904 eV per atom. The total energy is -2.8771 eV per atom.

The space group is C2/m (No. 12) and the conventional cell measures 13.4136, 7.4796 and 7.5882 Å, with angles of 90.00, 121.35 and 90.00 degrees. The inequivalent atoms are K at (0.2361, 0.0000, 0.2095), Zn at (0.0000, 0.0000, 0.5000), Cu at (0.0555, 0.5000, 0.2121), Br at (0.0488, 0.2401, 0.7874) and Br at (0.2397, 0.0000, 0.6471).


# 7
The following is a DFT calculation (PBE-GGA) of crystalline Ba3Ho3MgSe8 at its relaxed geometry.

For the formation energy without anion corrections, the calculation gives -1.812 eV per atom. The total energy is -5.0773 eV per atom.

The space group is R-3m (No. 166, hexagonal axes) and the conventional cell measures 8.3981, 8.3981 and 22.4813 Å, with angles of 90.00, 90.00 and 120.00 degrees. The inequivalent atoms are Ba at (0.0000, 0.5000, 0.0000), Ho at (0.0000, 0.5000, 0.5000), Mg at (0.0000, 0.0000, 0.5000), Se at (0.0000, 0.0000, 0.2374) and Se at (0.0023, 0.5012, 0.2352).


# 8
The following is a DFT calculation (PBE-GGA) of crystalline Ta2InPt at its relaxed geometry.

The total energy is -8.2465 eV per atom.

The space group is Cmmm (No. 65) and the conventional cell measures 5.7384, 8.5966 and 2.9076 Å, with angles of 90.00, 90.00 and 90.00 degrees. The inequivalent atoms are Ta at (0.2500, 0.2500, 0.0000), In at (0.0000, 0.0000, 0.5000) and Pt at (0.0000, 0.5000, 0.5000).


# 9
The following is a DFT calculation (PBE-GGA) of crystalline NpScNb at its relaxed geometry.

The total energy is -9.4855 eV per atom.

The space group is I4/mmm (No. 139) and the conventional cell measures 3.3168, 3.3168 and 23.8892 Å, with angles of 90.00, 90.00 and 90.00 degrees. The inequivalent atoms are Np at (0.0000, 0.0000, 0.2246), Sc at (0.0000, 0.0000, 0.0717) and Nb at (0.0000, 0.0000, 0.3523).


# 10
The following is a DFT calculation (PBE-GGA) of crystalline YInMo4 at its relaxed geometry.

The total energy is -8.5836 eV per atom.

The space group is F-43m (No. 216) and the conventional cell measures 7.6913, 7.6913 and 7.6913 Å, with angles of 90.00, 90.00 and 90.00 degrees. The inequivalent atoms are Y at (0.0000, 0.0000, 0.0000), In at (0.2500, 0.2500, 0.7500) and Mo at (0.1242, 0.1242, 0.3758).


# 11
The following is a DFT calculation (PBE-GGA) of crystalline SmC2N3 at its relaxed geometry.

For the formation energy without anion corrections, the calculation gives 0.071 eV per atom. The total energy is -7.9530 eV per atom.

The space group is Cmm2 (No. 35) and the conventional cell measures 5.6395, 6.9309 and 4.0145 Å, with angles of 90.00, 90.00 and 90.00 degrees. The inequivalent atoms are Sm at (0.0000, 0.0000, 0.0000), C at (0.0000, 0.3270, 0.7025), N at (0.0000, 0.2232, 0.4552) and N at (0.0000, 0.5000, 0.8682).


# 12
The following is a DFT calculation (PBE-GGA) of crystalline Zr2Zn2Sb at its relaxed geometry.

For the formation energy without anion corrections, the calculation gives -0.294 eV per atom. As for the polymorph energy (0 for the lowest one): 0.00 kcal/mol of atoms. The total energy is -5.0469 eV per atom.

The space group is P4/mbm (No. 127) and the conventional cell measures 6.9344, 6.9344 and 4.0588 Å, with angles of 90.00, 90.00 and 90.00 degrees. The inequivalent atoms are Zr at (0.1746, 0.3254, 0.0000), Zn at (0.1220, 0.6220, 0.5000) and Sb at (0.0000, 0.0000, 0.5000).


# 13
The following is a DFT calculation (PBE-GGA) of crystalline BaBeSe at its relaxed geometry.

For the formation energy without anion corrections, the calculation gives -0.535 eV per atom. As for the polymorph energy (0 for the lowest one): 0.00 kcal/mol of atoms. The total energy is -3.5791 eV per atom.

The space group is P3m1 (No. 156) and the conventional cell measures 3.9575, 3.9575 and 5.2101 Å, with angles of 90.00, 90.00 and 120.00 degrees. The inequivalent atoms are Ba at (0.0000, 0.0000, 0.0000), Be at (0.6667, 0.3333, 0.4891) and Se at (0.3333, 0.6667, 0.5015).


# 14
The following is a DFT calculation (PBE-GGA) of crystalline Dy2YSc at its relaxed geometry.

As for the polymorph energy (0 for the lowest one): 2.25 kcal/mol of atoms. The total energy is -5.3686 eV per atom.

The space group is Fm-3m (No. 225) and the conventional cell measures 7.8370, 7.8370 and 7.8370 Å, with angles of 90.00, 90.00 and 90.00 degrees. The inequivalent atoms are Dy at (0.2500, 0.2500, 0.2500), Y at (0.0000, 0.0000, 0.0000) and Sc at (0.0000, 0.0000, 0.5000).


# 15
The following is a DFT calculation (PBE-GGA) of crystalline Ba2PPb at its relaxed geometry.

As for the polymorph energy (0 for the lowest one): 0.32 kcal/mol of atoms. The total energy is -3.8489 eV per atom.

The space group is Amm2 (No. 38) and the conventional cell measures 4.4758, 5.1813 and 12.4678 Å, with angles of 90.00, 90.00 and 90.00 degrees. The inequivalent atoms are Ba at (0.0000, 0.0000, 0.0000), Ba at (0.5000, 0.0000, 0.2819), P at (0.0000, 0.0000, 0.7308) and Pb at (0.5000, 0.0000, 0.5809).


# 16
The following is a DFT calculation (PBE-GGA) of crystalline Ho8Zn2Pb at its relaxed geometry.

The total energy is -4.1122 eV per atom.

The space group is C2/m (No. 12) and the conventional cell measures 16.1331, 5.1452 and 8.2835 Å, with angles of 90.00, 118.90 and 90.00 degrees. The inequivalent atoms are Ho at (0.0659, 0.0000, 0.2225), Ho at (0.1025, 0.5000, 0.9668), Ho at (0.1516, 0.0000, 0.7112), Ho at (0.1860, 0.5000, 0.4637), Zn at (0.2173, 0.0000, 0.1150) and Pb at (0.0000, 0.5000, 0.5000).


# 17
The following is a DFT calculation (PBE-GGA) of crystalline PmY3Co at its relaxed geometry.

As for the polymorph energy (0 for the lowest one): 0.00 kcal/mol of atoms. The total energy is -6.2873 eV per atom.

The space group is P2_1/m (No. 11) and the conventional cell measures 6.0822, 7.7268 and 6.3144 Å, with angles of 90.00, 90.64 and 90.00 degrees. The inequivalent atoms are Pm at (0.2452, 0.2500, 0.1570), Y at (0.2469, 0.0011, 0.6714), Y at (0.2485, 0.7500, 0.1614) and Co at (0.0020, 0.7500, 0.5003).